(1)
Here is La2ScMn after structural relaxation from the Alexandria database. Energies are from PBEsol.

Values from the calculation:
Magnetization, μB/cell: 5.57
Energy of formation, eV/atom: 0.258
E_tot, eV/cell: -52.05

CIF file:
```
data_La2ScMn
_chemical_formula_sum 'La4 Sc2 Mn2'
_cell_length_a 11.969
_cell_length_b 3.613
_cell_length_c 5.299
_cell_angle_alpha 90.00
_cell_angle_beta 116.26
_cell_angle_gamma 90.00
_space_group_name_H-M_alt 'C 1 m 1'
_space_group_IT_number 8
_space_group_name_Hall 'C -2y'
loop_
_atom_site_label
_atom_site_type_symbol
_atom_site_fract_x
_atom_site_fract_y
_atom_site_fract_z
La1 La 0.000 0.000 0.000
La2 La 0.218 0.000 0.718
Sc1 Sc 0.430 0.000 0.430
Mn1 Mn 0.233 0.500 0.232
```

---

(2)
Here is La2ScMn after structural relaxation from the Alexandria database. Energies are from PBEsol.

Values from the calculation:
Magnetization, μB/cell: 2.74
Energy of formation, eV/atom: 0.257
E_tot, eV/cell: -26.03

CIF file:
```
data_La2ScMn
_chemical_formula_sum 'La2 Sc1 Mn1'
_cell_length_a 3.709
_cell_length_b 3.709
_cell_length_c 7.547
_cell_angle_alpha 90.00
_cell_angle_beta 90.00
_cell_angle_gamma 90.00
_space_group_name_H-M_alt 'P 4/m m m'
_space_group_IT_number 123
_space_group_name_Hall '-P 4 2'
loop_
_atom_site_label
_atom_site_type_symbol
_atom_site_fract_x
_atom_site_fract_y
_atom_site_fract_z
La1 La 0.000 0.000 0.223
Sc1 Sc 0.500 0.500 0.500
Mn1 Mn 0.500 0.500 0.000
```

---

(3)
Here is LaMnSe2 after structural relaxation from the Alexandria database. Energies are from PBEsol.

Values from the calculation:
Magnetization, μB/cell: 8.25
E_tot, eV/cell: -53.22
Energy relative to the elements, uncorrected, meV per atom: -950

CIF file:
```
data_LaMnSe2
_chemical_formula_sum 'La2 Mn2 Se4'
_cell_length_a 3.686
_cell_length_b 3.868
_cell_length_c 12.920
_cell_angle_alpha 90.00
_cell_angle_beta 90.00
_cell_angle_gamma 90.00
_space_group_name_H-M_alt 'I m m 2'
_space_group_IT_number 44
_space_group_name_Hall 'I 2 -2'
loop_
_atom_site_label
_atom_site_type_symbol
_atom_site_fract_x
_atom_site_fract_y
_atom_site_fract_z
La1 La 0.000 0.000 0.000
Mn1 Mn 0.000 0.500 0.737
Se1 Se 0.000 0.000 0.394
Se2 Se 0.000 0.500 0.173
```

---

(4)
Here is La3MnSe after structural relaxation from the Alexandria database. Energies are from PBEsol.

Values from the calculation:
Magnetization, μB/cell: 0.01
E_tot, eV/cell: -31.43
Energy relative to the elements, uncorrected, meV per atom: -355

CIF file:
```
data_La3MnSe
_chemical_formula_sum 'La3 Mn1 Se1'
_cell_length_a 5.097
_cell_length_b 5.097
_cell_length_c 5.097
_cell_angle_alpha 90.00
_cell_angle_beta 90.00
_cell_angle_gamma 90.00
_space_group_name_H-M_alt 'P m -3 m'
_space_group_IT_number 221
_space_group_name_Hall '-P 4 2 3'
loop_
_atom_site_label
_atom_site_type_symbol
_atom_site_fract_x
_atom_site_fract_y
_atom_site_fract_z
La1 La 0.000 0.000 0.500
Mn1 Mn 0.000 0.000 0.000
Se1 Se 0.500 0.500 0.500
```